A plane-wave DFT calculation with PBE with a Hubbard U was carried out for a relaxed structure of MnSbI2F.

Cell lengths 5.451, 5.451, 5.458 Å; angles 90.00, 90.00, 90.00 degrees
Site moments in Bohr magnetons follow the coordinates.
Sites, in units of the cell vectors:
I 0.000 0.500 0.000  0.02
I 0.500 0.000 0.000  0.02
Sb 0.000 0.000 0.500  -0.32
Mn 0.000 0.000 0.000  4.31
F 0.500 0.500 0.500  0.08

## Properties
* polymorph energy (0 for the lowest one): 175 meV per atom
* Fermi-level density of states: 5.18 states/eV/cell